Compound: InTe2IN
Source: Alexandria
Functional: PBE
Structure: optimized geometry

Unit cell a=6.275 b=6.275 c=3.938 alpha=90.00 beta=90.00 gamma=90.00
Sites, in units of the cell vectors:
I  0.000  0.000  0.000
In  0.500  0.500  0.500
Te  0.500  0.000  0.000
Te  0.000  0.500  0.000
N  0.000  0.000  0.500

Results
Space-group type: P4/mmm, No. 123
Crystal system: tetragonal

Compound: InTe2IN
Source: Alexandria
Functional: PBE
Structure: optimized geometry

Unit cell a=6.064 b=6.064 c=4.030 alpha=90.00 beta=90.00 gamma=90.00
Sites, in units of the cell vectors:
I  0.500  0.500  0.500
Te  0.000  0.500  0.000
Te  0.500  0.000  0.000
In  0.000  0.000  0.000
N  0.000  0.000  0.500

Results
Space-group type: P4/mmm, No. 123
Crystal system: tetragonal

Compound: TlInIN2
Source: Alexandria
Functional: PBE
Structure: optimized geometry

Unit cell a=4.598 b=4.598 c=6.352 alpha=90.00 beta=90.00 gamma=90.00
Sites, in units of the cell vectors:
Tl  0.500  0.500  0.500
In  0.000  0.000  0.000
N  0.500  0.000  0.000
N  0.000  0.500  0.000
I  0.000  0.000  0.500

Results
Space-group type: P4/mmm, No. 123
Crystal system: tetragonal

Compound: TlInIN2
Source: Alexandria
Functional: PBE
Structure: optimized geometry

Unit cell a=4.727 b=4.727 c=6.512 alpha=90.00 beta=90.00 gamma=90.00
Sites, in units of the cell vectors:
N  0.000  0.500  0.000
N  0.500  0.000  0.000
In  0.500  0.500  0.500
I  0.000  0.000  0.500
Tl  0.000  0.000  0.000

Results
Space-group type: P4/mmm, No. 123
Crystal system: tetragonal

Compound: TlInI2N
Source: Alexandria
Functional: PBE
Structure: optimized geometry

Unit cell a=6.229 b=6.229 c=4.159 alpha=90.00 beta=90.00 gamma=90.00
Sites, in units of the cell vectors:
N  0.000  0.000  0.500
I  0.500  0.000  0.000
I  0.000  0.500  0.000
Tl  0.500  0.500  0.500
In  0.000  0.000  0.000

Results
Space-group type: P4/mmm, No. 123
Crystal system: tetragonal

Compound: TlInI2N
Source: Alexandria
Functional: PBE
Structure: optimized geometry

Unit cell a=6.314 b=6.314 c=4.589 alpha=90.00 beta=90.00 gamma=90.00
Sites, in units of the cell vectors:
I  0.500  0.000  0.000
I  0.000  0.500  0.000
In  0.500  0.500  0.500
Tl  0.000  0.000  0.000
N  0.000  0.000  0.500

Results
Space-group type: P4/mmm, No. 123
Crystal system: tetragonal

Compound: VInIN2
Source: Alexandria
Functional: PBE
Structure: optimized geometry

Unit cell a=4.153 b=4.153 c=5.810 alpha=90.00 beta=90.00 gamma=90.00
Sites, in units of the cell vectors:
N  0.500  0.000  0.000
N  0.000  0.500  0.000
I  0.000  0.000  0.500
V  0.500  0.500  0.500
In  0.000  0.000  0.000

Results
Space-group type: P4/mmm, No. 123
Crystal system: tetragonal

Compound: VInIN2
Source: Alexandria
Functional: PBE
Structure: optimized geometry

Unit cell a=4.031 b=4.031 c=5.964 alpha=90.00 beta=90.00 gamma=90.00
Sites, in units of the cell vectors:
In  0.500  0.500  0.500
N  0.000  0.500  0.000
N  0.500  0.000  0.000
I  0.000  0.000  0.500
V  0.000  0.000  0.000

Results
Space-group type: P4/mmm, No. 123
Crystal system: tetragonal

Compound: VInI2N
Source: Alexandria
Functional: PBE
Structure: optimized geometry

Unit cell a=5.896 b=5.896 c=4.022 alpha=90.00 beta=90.00 gamma=90.00
Sites, in units of the cell vectors:
I  0.000  0.500  0.000
I  0.500  0.000  0.000
N  0.000  0.000  0.500
V  0.500  0.500  0.500
In  0.000  0.000  0.000

Results
Space-group type: P4/mmm, No. 123
Crystal system: tetragonal

Compound: VInI2N
Source: Alexandria
Functional: PBE
Structure: optimized geometry

Unit cell a=5.789 b=5.789 c=3.698 alpha=90.00 beta=90.00 gamma=90.00
Sites, in units of the cell vectors:
N  0.000  0.000  0.500
In  0.500  0.500  0.500
V  0.000  0.000  0.000
I  0.000  0.500  0.000
I  0.500  0.000  0.000

Results
Space-group type: P4/mmm, No. 123
Crystal system: tetragonal

Compound: YInI2N
Source: Alexandria
Functional: PBE
Structure: optimized geometry

Unit cell a=6.130 b=6.130 c=3.898 alpha=90.00 beta=90.00 gamma=90.00
Sites, in units of the cell vectors:
I  0.000  0.500  0.000
I  0.500  0.000  0.000
Y  0.500  0.500  0.500
N  0.000  0.000  0.500
In  0.000  0.000  0.000

Results
Space-group type: P4/mmm, No. 123
Crystal system: tetragonal

Compound: YInI2N
Source: Alexandria
Functional: PBE
Structure: optimized geometry

Unit cell a=6.111 b=6.111 c=4.731 alpha=90.00 beta=90.00 gamma=90.00
Sites, in units of the cell vectors:
N  0.000  0.000  0.500
I  0.500  0.000  0.000
I  0.000  0.500  0.000
In  0.500  0.500  0.500
Y  0.000  0.000  0.000

Results
Space-group type: P4/mmm, No. 123
Crystal system: tetragonal

Compound: ZnInIN2
Source: Alexandria
Functional: PBE
Structure: optimized geometry

Unit cell a=4.216 b=4.216 c=7.050 alpha=90.00 beta=90.00 gamma=90.00
Sites, in units of the cell vectors:
In  0.000  0.000  0.000
N  0.000  0.500  0.000
N  0.500  0.000  0.000
Zn  0.500  0.500  0.500
I  0.000  0.000  0.500

Results
Space-group type: P4/mmm, No. 123
Crystal system: tetragonal

Compound: ZnInI2N
Source: Alexandria
Functional: PBE
Structure: optimized geometry

Unit cell a=6.039 b=6.039 c=3.916 alpha=90.00 beta=90.00 gamma=90.00
Sites, in units of the cell vectors:
N  0.000  0.000  0.500
I  0.000  0.500  0.000
I  0.500  0.000  0.000
In  0.500  0.500  0.500
Zn  0.000  0.000  0.000

Results
Space-group type: P4/mmm, No. 123
Crystal system: tetragonal

Compound: ZnInI2N
Source: Alexandria
Functional: PBE
Structure: optimized geometry

Unit cell a=6.091 b=6.091 c=4.128 alpha=90.00 beta=90.00 gamma=90.00
Sites, in units of the cell vectors:
I  0.000  0.500  0.000
I  0.500  0.000  0.000
In  0.000  0.000  0.000
N  0.000  0.000  0.500
Zn  0.500  0.500  0.500

Results
Space-group type: P4/mmm, No. 123
Crystal system: tetragonal

Number 1: E_tot -13.86 eV per cell, ΔE_f (raw) 23.22 kcal/mol of atoms. Number 2: E_tot -14.27 eV per cell, ΔE_f (raw) 21.32 kcal/mol of atoms. Number 3: E_tot -17.45 eV per cell, ΔE_f (raw) 27.00 kcal/mol of atoms. Number 4: E_tot -15.82 eV per cell, ΔE_f (raw) 34.53 kcal/mol of atoms. Number 5: E_tot -15.37 eV per cell, ΔE_f (raw) 5.35 kcal/mol of atoms. Number 6: E_tot -13.80 eV per cell, ΔE_f (raw) 12.60 kcal/mol of atoms. Number 7: E_tot -20.82 eV per cell, ΔE_f (raw) 42.61 kcal/mol of atoms. Number 8: E_tot -26.74 eV per cell, ΔE_f (raw) 15.29 kcal/mol of atoms. Number 9: E_tot -18.37 eV per cell, ΔE_f (raw) 22.65 kcal/mol of atoms. Number 10: E_tot -23.78 eV per cell, ΔE_f (raw) -2.31 kcal/mol of atoms. Number 11: E_tot -19.41 eV per cell, ΔE_f (raw) 5.60 kcal/mol of atoms. Number 12: E_tot -22.07 eV per cell, ΔE_f (raw) -6.64 kcal/mol of atoms. Number 13: E_tot -15.49 eV per cell, ΔE_f (raw) 31.02 kcal/mol of atoms. Number 14: E_tot -13.75 eV per cell, ΔE_f (raw) 7.80 kcal/mol of atoms. Number 15: E_tot -12.28 eV per cell, ΔE_f (raw) 14.56 kcal/mol of atoms.